Compound: Co3SiW
Source: the Alexandria database
Functional: PBE-GGA
Structure: optimized geometry

It has space group Pm-3m (No. 221), with a = 4.433 Å, b = 4.433 Å, c = 4.433 Å, α = 90.00°, β = 90.00° and γ = 90.00°. The asymmetric unit holds Co at (0.000, 0.000, 0.500), Si at (0.500, 0.500, 0.500) and W at (0.000, 0.000, 0.000).

The value obtained for the formation energy from raw total energies is 1.648 eV per atom. The energy above the lowest structure with this stoichiometry is 1.085 eV per atom. The value obtained for the energy is -6.291 eV/atom. The density comes out at 7.4 g/cm³. The calculation puts the density of states at the Fermi level at 6.0 states/eV per cell.